1.
A geometry-optimized LiCuRu structure, computed with PBE-GGA.

a = 2.6206 Å, b = 2.6206 Å, c = 6.7182 Å
α = 90.00°, β = 90.00°, γ = 120.00°
Closest atoms and distances in Å follow each position.
Element x y z (fractional)
Cu1 0.0000 0.0000 0.0000  6 Cu 2.62, 3 Li 2.68, 3 Ru 2.68
Li1 0.3333 0.6667 0.3301  6 Li 2.62, 3 Cu 2.68, 3 Ru 2.74
Ru1 0.6667 0.3333 0.6699  6 Ru 2.62, 3 Cu 2.68, 3 Li 2.74

Calculated values
Density of states at the Fermi level = 1.71 states/eV/cell
V = 13.3 Å³/atom
Total DFT energy (no corrections) = -4.941 eV/atom
Relative energy among the computed polymorphs = 61 meV/atom
ΔH_f (0 K) = 0.46 eV per formula unit

2.
A geometry-optimized BaAg10Pd2 structure, computed with PBE-GGA.

a = 5.5704 Å, b = 7.3713 Å, c = 7.3712 Å
α = 81.79°, β = 67.80°, γ = 67.80°
Closest atoms and distances in Å follow each position.
Element x y z (fractional)
Ba1 0.0000 0.0000 0.0000  16 Ag 3.41-3.69, 4 Pd 3.69
Ag1 0.3533 0.6408 0.6525  7 Ag 2.83-3.05, 2 Pd 2.91
Ag2 0.6467 0.3592 0.3475  7 Ag 2.83-3.05, 2 Pd 2.91
Ag3 0.9941 0.3592 0.6525  7 Ag 2.83-3.05, 2 Pd 2.91
Ag4 0.0059 0.6408 0.3475  7 Ag 2.83-3.05, 2 Pd 2.91
Ag5 0.0000 0.0000 0.5000  10 Ag 2.79-3.01
Ag6 0.5000 0.0000 0.5000  10 Ag 2.79-3.01
Ag7 0.2729 0.2291 0.2251  2 Pd 2.78, 7 Ag 2.81-3.07
Ag8 0.7271 0.7709 0.7749  2 Pd 2.78, 7 Ag 2.81-3.07
Ag9 0.5020 0.7709 0.2251  2 Pd 2.78, 7 Ag 2.81-3.07
Ag10 0.4980 0.2291 0.7749  2 Pd 2.78, 7 Ag 2.81-3.07
Pd1 0.0000 0.5000 0.0000  8 Ag 2.78-2.91, 2 Pd 2.79
Pd2 0.5000 0.5000 0.0000  8 Ag 2.78-2.91, 2 Pd 2.79

Calculated values
Density of states at the Fermi level = 5.49 states/eV/cell
V = 20.0 Å³/atom
Total DFT energy (no corrections) = -3.234 eV/atom
ΔH_f (0 K) = -1.22 eV per formula unit

3.
A geometry-optimized TmAgSn structure, computed with PBE-GGA.

a = 7.3478 Å, b = 7.3478 Å, c = 4.4706 Å
α = 90.00°, β = 90.00°, γ = 120.00°
Closest atoms and distances in Å follow each position.
Element x y z (fractional)
Tm1 0.0000 0.4304 0.0000  5 Sn 3.12-3.16, 2 Ag 3.26
Tm2 0.5696 0.5696 0.0000  5 Sn 3.12-3.16, 2 Ag 3.26
Tm3 0.4304 0.0000 0.0000  5 Sn 3.12-3.16, 2 Ag 3.26
Ag1 0.2467 0.2467 0.5000  4 Sn 2.82-2.88, 2 Ag 3.14
Ag2 0.7533 0.0000 0.5000  4 Sn 2.82-2.88, 2 Ag 3.14
Ag3 0.0000 0.7533 0.5000  4 Sn 2.82-2.88, 2 Ag 3.14
Sn1 0.3333 0.6667 0.5000  3 Ag 2.82, 6 Tm 3.12
Sn2 0.0000 0.0000 0.0000  6 Ag 2.88, 3 Tm 3.16
Sn3 0.6667 0.3333 0.5000  3 Ag 2.82, 6 Tm 3.12

Calculated values
Density of states at the Fermi level = 1.32 states/eV/cell
V = 23.2 Å³/atom
Total DFT energy (no corrections) = -4.313 eV/atom
ΔH_f (0 K) = -1.61 eV per formula unit

4.
A geometry-optimized TbZnAu structure, computed with PBE-GGA.

a = 3.6603 Å, b = 3.6603 Å, c = 5.3646 Å
α = 109.95°, β = 109.95°, γ = 90.00°
Closest atoms and distances in Å follow each position.
Element x y z (fractional)
Tb1 0.9510 0.9510 0.9019  5 Zn 3.02-3.09, 5 Au 3.04-3.07
Zn1 0.2720 0.2720 0.5441  4 Au 2.93, 5 Tb 3.02-3.09
Au1 0.6270 0.6270 0.2540  4 Zn 2.93, 5 Tb 3.04-3.07

Calculated values
Density of states at the Fermi level = 1.36 states/eV/cell
V = 21.0 Å³/atom
Total DFT energy (no corrections) = -3.592 eV/atom
ΔH_f (0 K) = -1.59 eV per formula unit

5.
A geometry-optimized GaFeNi structure, computed with PBE-GGA.

a = 4.0754 Å, b = 4.0754 Å, c = 5.0498 Å
α = 90.00°, β = 90.00°, γ = 120.00°
Closest atoms and distances in Å follow each position.
Element x y z (fractional)
Ni1 0.0000 0.0000 0.0552  5 Ga 2.46-2.57, 3 Fe 2.52
Ni2 0.3333 0.6667 0.3793  2 Fe 2.50-2.55, 6 Ga 2.52-2.53
Fe1 0.3333 0.6667 0.8738  3 Fe 2.49, 5 Ni 2.50-2.55
Fe2 0.6667 0.3333 0.7129  5 Ga 2.45-2.60, 3 Fe 2.49
Ga1 0.6667 0.3333 0.1984  2 Fe 2.45-2.60, 6 Ni 2.46-2.52
Ga2 0.0000 0.0000 0.5637  3 Fe 2.47, 5 Ni 2.48-2.57

Calculated values
Density of states at the Fermi level = 4.53 states/eV/cell
V = 12.1 Å³/atom
Total DFT energy (no corrections) = -5.978 eV/atom
ΔH_f (0 K) = -0.66 eV per formula unit

6.
A geometry-optimized Mo2PdPt2 structure, computed with PBE-GGA.

a = 7.7726 Å, b = 7.7726 Å, c = 2.7456 Å
α = 90.00°, β = 90.00°, γ = 90.00°
Closest atoms and distances in Å follow each position.
Element x y z (fractional)
Mo1 0.3780 0.8780 0.0000  6 Pt 2.66-2.68, 3 Mo 2.68-2.75
Mo2 0.8780 0.6220 0.0000  6 Pt 2.66-2.68, 3 Mo 2.68-2.75
Mo3 0.6220 0.1220 0.0000  6 Pt 2.66-2.68, 3 Mo 2.68-2.75
Mo4 0.1220 0.3780 0.0000  6 Pt 2.66-2.68, 3 Mo 2.68-2.75
Pd1 0.0000 0.0000 0.0000  2 Pd 2.75
Pd2 0.5000 0.5000 0.0000  2 Pd 2.75
Pt1 0.1704 0.6704 0.5000  6 Mo 2.66-2.68, 2 Pt 2.75
Pt2 0.6704 0.8296 0.5000  6 Mo 2.66-2.68, 2 Pt 2.75
Pt3 0.8296 0.3296 0.5000  6 Mo 2.66-2.68, 2 Pt 2.75
Pt4 0.3296 0.1704 0.5000  6 Mo 2.66-2.68, 2 Pt 2.75

Calculated values
Density of states at the Fermi level = 6.20 states/eV/cell
V = 16.6 Å³/atom
Total DFT energy (no corrections) = -7.796 eV/atom
Relative energy among the computed polymorphs = 184 meV/atom
ΔH_f (0 K) = -0.04 eV per formula unit